Ta3CdCo | meta-GGA SCAN | PBEsol geometry

Its density of states at the Fermi level is 3.67 states/eV/cell. As for the formation energy: 3.7 eV/f.u. The value obtained for the total energy is -243.8 eV per cell.

The structure belongs to space group Pm-3m (No. 221); the cell edges are 4.555, 4.555 and 4.555 Å and the angles 90.00°, 90.00° and 90.00°. The asymmetric unit holds Ta at (0.000, 0.000, 0.500), Cd at (0.500, 0.500, 0.500) and Co at (0.000, 0.000, 0.000).